# Dy2Tm2Te3 PBE-GGA optimized geometry
data_Dy2Tm2Te3
_cell_length_a 14.113
_cell_length_b 4.125
_cell_length_c 7.301
_cell_angle_alpha 90.00
_cell_angle_beta 101.78
_cell_angle_gamma 90.00
_space_group_name_H-M_alt 'C 1 2/m 1'
_space_group_IT_number 12
_space_group_name_Hall '-C 2y'
loop_
_atom_site_label
_atom_site_type_symbol
_atom_site_fract_x
_atom_site_fract_y
_atom_site_fract_z
Dy1 Dy 0.113 0.000 0.314
Tm1 Tm 0.110 0.500 0.903
Te1 Te 0.000 0.500 0.500
Te2 Te 0.231 0.000 0.739
# Total DFT energy (no corrections): -69.23 eV/cell
# Formation energy without anion corrections: -680 kJ/mol of formula units
# Total magnetic moment: 0.0 μB/f.u.


# Dy3Tm2Te6 PBE-GGA optimized geometry
data_Dy3Tm2Te6
_cell_length_a 4.3373
_cell_length_b 4.3373
_cell_length_c 64.4699
_cell_angle_alpha 90.00
_cell_angle_beta 90.00
_cell_angle_gamma 120.00
_space_group_name_H-M_alt 'R -3 m'
_space_group_IT_number 166
_space_group_name_Hall '-R 3 2"'
loop_
_atom_site_label
_atom_site_type_symbol
_atom_site_fract_x
_atom_site_fract_y
_atom_site_fract_z
Dy1 Dy 0.0000 0.0000 0.0000
Dy2 Dy 0.0000 0.0000 0.2788
Tm1 Tm 0.0000 0.0000 0.4471
Te1 Te 0.0000 0.0000 0.0835
Te2 Te 0.0000 0.0000 0.1951
Te3 Te 0.0000 0.0000 0.3608
# Total DFT energy (no corrections): -167.36 eV/cell
# Formation energy without anion corrections: -1369 kJ/mol of formula units
# Total magnetic moment: 0.0 μB/f.u.


# Dy4Tm3Te2 PBE-GGA optimized geometry
data_Dy4Tm3Te2
_cell_length_a 17.568
_cell_length_b 3.806
_cell_length_c 9.438
_cell_angle_alpha 90.00
_cell_angle_beta 122.22
_cell_angle_gamma 90.00
_space_group_name_H-M_alt 'C 1 2/m 1'
_space_group_IT_number 12
_space_group_name_Hall '-C 2y'
loop_
_atom_site_label
_atom_site_type_symbol
_atom_site_fract_x
_atom_site_fract_y
_atom_site_fract_z
Dy1 Dy 0.053 0.000 0.383
Dy2 Dy 0.209 0.500 0.326
Tm1 Tm 0.000 0.500 0.000
Tm2 Tm 0.149 0.500 0.755
Te1 Te 0.141 0.000 0.005
# Total DFT energy (no corrections): -85.56 eV/cell
# Formation energy without anion corrections: -451 kJ/mol of formula units
# Total magnetic moment: 0.0 μB/f.u.


# DyTmTe PBE-GGA optimized geometry
data_DyTmTe
_cell_length_a 3.837
_cell_length_b 3.837
_cell_length_c 11.492
_cell_angle_alpha 90.00
_cell_angle_beta 90.00
_cell_angle_gamma 90.00
_space_group_name_H-M_alt 'I 4 m m'
_space_group_IT_number 107
_space_group_name_Hall 'I 4 -2'
loop_
_atom_site_label
_atom_site_type_symbol
_atom_site_fract_x
_atom_site_fract_y
_atom_site_fract_z
Dy1 Dy 0.000 0.000 0.000
Tm1 Tm 0.000 0.000 0.314
Te1 Te 0.000 0.000 0.660
# Total DFT energy (no corrections): -29.01 eV/cell
# Formation energy without anion corrections: -221 kJ/mol of formula units
# Total magnetic moment: 0.0 μB/f.u.
# ΔE to the lowest computed polymorph: 56.8 meV per atom


# DyTm3Te PBE-GGA optimized geometry
data_DyTm3Te
_cell_length_a 12.022
_cell_length_b 5.732
_cell_length_c 8.881
_cell_angle_alpha 90.00
_cell_angle_beta 95.33
_cell_angle_gamma 90.00
_space_group_name_H-M_alt 'C 1 2/m 1'
_space_group_IT_number 12
_space_group_name_Hall '-C 2y'
loop_
_atom_site_label
_atom_site_type_symbol
_atom_site_fract_x
_atom_site_fract_y
_atom_site_fract_z
Dy1 Dy 0.086 0.000 0.145
Tm1 Tm 0.058 0.500 0.338
Tm2 Tm 0.124 0.000 0.643
Tm3 Tm 0.138 0.500 0.957
Te1 Te 0.211 0.500 0.627
# Total DFT energy (no corrections): -90.78 eV/cell
# Formation energy without anion corrections: -148 kJ/mol of formula units
# Total magnetic moment: 0.0 μB/f.u.


# Dy4Tm3Te8 PBE-GGA optimized geometry
data_Dy4Tm3Te8
_cell_length_a 12.192
_cell_length_b 12.196
_cell_length_c 8.620
_cell_angle_alpha 90.00
_cell_angle_beta 134.96
_cell_angle_gamma 90.00
_space_group_name_H-M_alt 'C 1 2/m 1'
_space_group_IT_number 12
_space_group_name_Hall '-C 2y'
loop_
_atom_site_label
_atom_site_type_symbol
_atom_site_fract_x
_atom_site_fract_y
_atom_site_fract_z
Dy1 Dy 0.000 0.000 0.000
Dy2 Dy 0.000 0.000 0.500
Dy3 Dy 0.250 0.250 0.000
Tm1 Tm 0.000 0.500 0.000
Tm2 Tm 0.250 0.250 0.500
Te1 Te 0.000 0.251 0.000
Te2 Te 0.000 0.257 0.500
Te3 Te 0.242 0.500 0.497
Te4 Te 0.242 0.500 0.987
# Total DFT energy (no corrections): -153.61 eV/cell
# Formation energy without anion corrections: -1915 kJ/mol of formula units
# Total magnetic moment: 0.0 μB/f.u.


# Dy2TmTe PBE-GGA optimized geometry
data_Dy2TmTe
_cell_length_a 3.8649
_cell_length_b 3.8649
_cell_length_c 29.0701
_cell_angle_alpha 90.00
_cell_angle_beta 90.00
_cell_angle_gamma 120.00
_space_group_name_H-M_alt 'R 3 m'
_space_group_IT_number 160
_space_group_name_Hall 'R 3 -2"'
loop_
_atom_site_label
_atom_site_type_symbol
_atom_site_fract_x
_atom_site_fract_y
_atom_site_fract_z
Dy1 Dy 0.0000 0.0000 0.0000
Dy2 Dy 0.0000 0.0000 0.1872
Tm1 Tm 0.0000 0.0000 0.7606
Te1 Te 0.0000 0.0000 0.5937
# Total DFT energy (no corrections): -56.74 eV/cell
# Formation energy without anion corrections: -202 kJ/mol of formula units
# Total magnetic moment: 0.0 μB/f.u.
# ΔE to the lowest computed polymorph: 115.4 meV per atom


# DyTmTe2 PBE-GGA optimized geometry
data_DyTmTe2
_cell_length_a 4.427
_cell_length_b 6.805
_cell_length_c 9.704
_cell_angle_alpha 90.00
_cell_angle_beta 90.09
_cell_angle_gamma 90.00
_space_group_name_H-M_alt 'P 1 21 1'
_space_group_IT_number 4
_space_group_name_Hall 'P 2yb'
loop_
_atom_site_label
_atom_site_type_symbol
_atom_site_fract_x
_atom_site_fract_y
_atom_site_fract_z
Dy1 Dy 0.250 0.000 0.179
Tm1 Tm 0.248 0.840 0.585
Te1 Te 0.250 0.760 0.909
Te2 Te 0.253 0.617 0.327
# Total DFT energy (no corrections): -37.79 eV/cell
# Formation energy without anion corrections: -342 kJ/mol of formula units
# Total magnetic moment: 0.0 μB/f.u.
# ΔE to the lowest computed polymorph: 375.8 meV per atom


# DyTmTe PBE-GGA optimized geometry
data_DyTmTe
_cell_length_a 16.365
_cell_length_b 3.969
_cell_length_c 11.069
_cell_angle_alpha 90.00
_cell_angle_beta 92.97
_cell_angle_gamma 90.00
_space_group_name_H-M_alt 'C 1 2/m 1'
_space_group_IT_number 12
_space_group_name_Hall '-C 2y'
loop_
_atom_site_label
_atom_site_type_symbol
_atom_site_fract_x
_atom_site_fract_y
_atom_site_fract_z
Dy1 Dy 0.022 0.000 0.352
Dy2 Dy 0.118 0.500 0.833
Tm1 Tm 0.189 0.000 0.077
Tm2 Tm 0.248 0.500 0.331
Te1 Te 0.070 0.500 0.161
Te2 Te 0.118 0.500 0.539
# Total DFT energy (no corrections): -114.75 eV/cell
# Formation energy without anion corrections: -205 kJ/mol of formula units
# Total magnetic moment: 0.2 μB/f.u.
# ΔE to the lowest computed polymorph: 110.9 meV per atom


# Dy3Tm4Te8 PBE-GGA optimized geometry
data_Dy3Tm4Te8
_cell_length_a 12.187
_cell_length_b 12.192
_cell_length_c 8.620
_cell_angle_alpha 90.00
_cell_angle_beta 134.97
_cell_angle_gamma 90.00
_space_group_name_H-M_alt 'C 1 2/m 1'
_space_group_IT_number 12
_space_group_name_Hall '-C 2y'
loop_
_atom_site_label
_atom_site_type_symbol
_atom_site_fract_x
_atom_site_fract_y
_atom_site_fract_z
Dy1 Dy 0.000 0.000 0.000
Dy2 Dy 0.250 0.250 0.000
Tm1 Tm 0.000 0.000 0.500
Tm2 Tm 0.000 0.500 0.000
Tm3 Tm 0.250 0.250 0.500
Te1 Te 0.000 0.251 0.000
Te2 Te 0.000 0.254 0.500
Te3 Te 0.244 0.500 0.497
Te4 Te 0.244 0.500 0.991
# Total DFT energy (no corrections): -153.03 eV/cell
# Formation energy without anion corrections: -1900 kJ/mol of formula units
# Total magnetic moment: 0.0 μB/f.u.


# DyTm5Te2 PBE-GGA optimized geometry
data_DyTm5Te2
_cell_length_a 3.845
_cell_length_b 10.049
_cell_length_c 11.868
_cell_angle_alpha 90.00
_cell_angle_beta 90.00
_cell_angle_gamma 90.00
_space_group_name_H-M_alt 'I m m m'
_space_group_IT_number 71
_space_group_name_Hall '-I 2 2'
loop_
_atom_site_label
_atom_site_type_symbol
_atom_site_fract_x
_atom_site_fract_y
_atom_site_fract_z
Dy1 Dy 0.000 0.000 0.000
Tm1 Tm 0.000 0.210 0.359
Tm2 Tm 0.000 0.500 0.000
Te1 Te 0.000 0.500 0.269
# Total DFT energy (no corrections): -74.34 eV/cell
# Formation energy without anion corrections: -379 kJ/mol of formula units
# Total magnetic moment: 0.0 μB/f.u.


# Dy2TmTe2 PBE-GGA optimized geometry
data_Dy2TmTe2
_cell_length_a 6.160
_cell_length_b 4.079
_cell_length_c 12.018
_cell_angle_alpha 90.00
_cell_angle_beta 99.94
_cell_angle_gamma 90.00
_space_group_name_H-M_alt 'P 1 21/m 1'
_space_group_IT_number 11
_space_group_name_Hall '-P 2yb'
loop_
_atom_site_label
_atom_site_type_symbol
_atom_site_fract_x
_atom_site_fract_y
_atom_site_fract_z
Dy1 Dy 0.106 0.250 0.239
Dy2 Dy 0.279 0.250 0.622
Tm1 Tm 0.209 0.250 0.965
Te1 Te 0.237 0.750 0.428
Te2 Te 0.419 0.750 0.820
# Total DFT energy (no corrections): -49.55 eV/cell
# Formation energy without anion corrections: -465 kJ/mol of formula units
# Total magnetic moment: 0.0 μB/f.u.


formation energy without anion corrections of number 2 (Dy3Tm2Te6)? -1369 kJ/mol of formula units


Among the records above, which one has the highest formation energy without anion corrections? DyTm3Te


Among the records above, which one has the lowest formation energy without anion corrections? Dy4Tm3Te8